Li4NbFeW2O12: optimized geometry, PBE+U.

Values from the calculation:
E_tot = -6.98 eV/atom
N(E_F) = 0.0 states/eV per cell
SG = No. 1
M_tot = 4.96 μB per cell

a b c (Å): 5.176 5.489 7.573
angles (deg): 94.58 90.10 90.06
Last column: magnetic moment on the atom in μB.
Element x y z (fractional)
O 0.793 0.698 0.929  0.09
O 0.184 0.700 0.428  0.00
O 0.322 0.815 0.045  0.08
W 0.996 0.984 0.498  0.04
Li 0.000 0.412 0.270  0.00
O 0.623 0.522 0.247  0.01
O 0.683 0.829 0.554  0.00
O 0.373 0.513 0.746  0.00
O 0.884 0.029 0.257  0.07
O 0.307 0.196 0.429  0.00
Nb 0.501 0.483 0.512  0.01
O 0.820 0.323 0.555  0.00
W 0.505 0.503 0.009  0.07
Li 0.505 0.948 0.264  0.00
O 0.196 0.326 0.047  0.06
Li 0.995 0.413 0.808  0.00
Fe 0.000 0.992 0.001  4.34
Li 0.498 0.936 0.807  0.00
O 0.120 0.019 0.733  0.05
O 0.694 0.215 0.933  0.06